Material: NiSb2IrI
Method: DFT, PBE-GGA
State: relaxed

Calculated values
Total moment: 0.00 μB/atom
Polymorph energy (0 for the lowest one): 0.14 eV/f.u.
Density: 8.70 g cm⁻³
E_form (uncorrected): 0.9606 eV per atom
Symmetry: P4/mmm (123)

Geometry as POSCAR:
```
NiSb2IrI
1.0
4.832 0.000 0.000
0.000 4.832 0.000
0.000 0.000 5.077
Ni Sb Ir I
1 2 1 1
direct
0.000 0.000 0.000 Ni
0.500 0.000 0.000 Sb
0.000 0.500 0.000 Sb
0.500 0.500 0.500 Ir
0.000 0.000 0.500 I
```